(1)
VASP calculation (PBE) on a relaxed CaAl3Cd crystal.

Values from the calculation:
**Total magnetic moment**: 0.000 μB per cell
**Energy above the lowest structure with this stoichiometry**: 0.000 eV/atom
**DFT formation energy**: 0.45 eV per atom

Lattice parameters (Å, degrees): 5.1496 5.1496 5.1496 90.00 90.00 90.00
Sites, in units of the cell vectors:
1 Cd 0.0000 0.0000 0.0000
2 Al 0.0000 0.5000 0.0000
3 Al 0.5000 0.0000 0.0000
4 Al 0.0000 0.0000 0.5000
5 Ca 0.5000 0.5000 0.5000


(2)
VASP calculation (PBE) on a relaxed Zn2CuP crystal.

Values from the calculation:
**Total magnetic moment**: 0.000 μB per cell
**DFT formation energy**: 0.08 eV per atom

Lattice parameters (Å, degrees): 6.4786 6.4786 3.9286 107.79 107.79 24.40
Sites, in units of the cell vectors:
1 Zn 0.4529 0.4529 0.4526
2 Zn 0.0471 0.0471 0.0474
3 Cu 0.7500 0.7500 0.7500
4 P 0.2500 0.2500 0.2500


(3)
VASP calculation (PBE) on a relaxed CdFeHg2 crystal.

Values from the calculation:
**Total magnetic moment**: 2.616 μB per cell
**DFT formation energy**: 0.42 eV per atom

Lattice parameters (Å, degrees): 5.4141 5.4141 5.4141 134.64 134.64 66.10
Site moments in Bohr magnetons follow the coordinates.
Sites, in units of the cell vectors:
1 Fe 0.7500 0.2500 0.5000  2.79
2 Hg 0.0000 0.0000 0.0000  -0.03
3 Hg 0.2500 0.7500 0.5000  -0.05
4 Cd 0.5000 0.5000 0.0000  -0.04


(4)
VASP calculation (PBE) on a relaxed TmGe4Ru4 crystal.

Values from the calculation:
**Total magnetic moment**: 0.000 μB per cell
**DFT formation energy**: -0.29 eV per atom

Lattice parameters (Å, degrees): 6.0644 6.0644 8.2478 90.00 90.00 90.00
Sites, in units of the cell vectors:
1 Ge 0.5000 0.7907 0.8138
2 Ge 0.0000 0.2907 0.6862
3 Ge 0.7907 0.5000 0.1862
4 Ge 0.0000 0.7093 0.6862
5 Ge 0.2907 0.0000 0.3138
6 Ge 0.2093 0.5000 0.1862
7 Ge 0.7093 0.0000 0.3138
8 Ge 0.5000 0.2093 0.8138
9 Ru 0.2364 0.5000 0.8863
10 Ru 0.2636 0.0000 0.6137
11 Ru 0.7364 0.0000 0.6137
12 Ru 0.5000 0.2364 0.1137
13 Ru 0.5000 0.7636 0.1137
14 Ru 0.0000 0.7364 0.3863
15 Ru 0.7636 0.5000 0.8863
16 Ru 0.0000 0.2636 0.3863
17 Tm 0.0000 0.0000 0.0000
18 Tm 0.5000 0.5000 0.5000


(5)
VASP calculation (PBE) on a relaxed HoPaSn2O8 crystal.

Values from the calculation:
**Total magnetic moment**: 0.000 μB per cell
**Uncorrected formation energy**: -29.6 eV per formula unit

Lattice parameters (Å, degrees): 6.1575 6.1575 6.1575 108.75 108.75 110.92
Sites, in units of the cell vectors:
1 O 0.8926 0.6994 0.1933
2 O 0.9575 0.6435 0.6859
3 O 0.9575 0.2716 0.3141
4 O 0.5061 0.6994 0.8067
5 O 0.3006 0.4939 0.1933
6 O 0.3006 0.1074 0.8067
7 O 0.7284 0.0425 0.6859
8 O 0.3565 0.0425 0.3141
9 Pa 0.2500 0.7500 0.5000
10 Ho 0.0000 0.0000 0.0000
11 Sn 0.5000 0.5000 0.0000
12 Sn 0.7500 0.2500 0.5000


(6)
VASP calculation (PBE) on a relaxed Ac3Y4Co2 crystal.

Values from the calculation:
**Total magnetic moment**: 0.000 μB per cell
**DFT formation energy**: 0.00 eV per atom

Lattice parameters (Å, degrees): 3.9000 9.7640 9.3505 121.14 90.00 101.52
Sites, in units of the cell vectors:
1 Co 0.6842 0.3683 0.7821
2 Co 0.3158 0.6317 0.2179
3 Y 0.0766 0.1531 0.7151
4 Y 0.7020 0.4040 0.0992
5 Y 0.2980 0.5960 0.9008
6 Y 0.9234 0.8469 0.2849
7 Ac 0.3618 0.7237 0.5510
8 Ac 0.0000 0.0000 0.0000
9 Ac 0.6382 0.2763 0.4490


Number 1: VASP energy -0.0873 Ha/atom. Number 2: VASP energy -0.1077 Ha/atom. Number 3: VASP energy -0.0762 Ha/atom. Number 4: VASP energy -0.2557 Ha/atom. Number 5: VASP energy -0.2797 Ha/atom. Number 6: VASP energy -0.2139 Ha/atom.